# ScCoO3

A relaxed structure of ScCoO3 (PBE with a Hubbard U, Alexandria).

Structure (extended XYZ):
```
20
Lattice="4.979 0.000 0.000 0.000 5.405 0.000 -4.634 0.000 7.482" Properties=species:S:1:pos:R:3 pbc="T T T"
Sc -0.068 0.434 1.807
Sc -2.385 2.269 5.548
Sc 2.730 3.136 1.934
Sc 0.413 4.971 5.675
Co -2.317 0.000 3.741
Co 0.000 2.702 0.000
Co 2.490 0.000 0.000
Co 0.173 2.702 3.741
O -3.720 1.022 7.014
O -1.403 1.680 3.273
O -3.148 3.691 6.901
O -0.831 4.416 3.160
O -1.537 0.293 5.679
O 0.780 2.410 1.938
O -0.434 2.995 5.544
O 1.883 5.112 1.803
O 1.176 0.989 4.322
O 3.493 1.713 0.581
O 1.749 3.724 4.209
O 4.066 4.383 0.468
```

Computed properties:
Volume (Å³/cell): 201.3
Final energy (eV/atom): -7.428
Space-group type: P2_1/c (14)